# 1
LuMgPb2 (GGA-PBE, relaxed); DFT total energy = -3.371 eV per atom; volume = 28.04 Å³ per atom
1.0
0.000 3.828 3.828
3.828 0.000 3.828
3.828 3.828 0.000
Lu Mg Pb
1 1 2
Cartesian
3.828 3.828 3.828 Lu
5.741 5.741 5.741 Mg
0.000 0.000 0.000 Pb
1.914 1.914 1.914 Pb

---

# 2
Ba2As2PdAu (GGA-PBE, relaxed); DFT total energy = -4.539 eV per atom; volume = 27.47 Å³ per atom
1.0
4.484 0.000 0.000
-2.242 3.883 0.000
0.000 0.000 9.465
As Au Ba Pd
2 1 2 1
Cartesian
2.242 1.294 0.000 As
0.000 0.000 4.733 As
0.000 0.000 0.000 Au
0.000 2.589 2.456 Ba
0.000 2.589 7.009 Ba
2.242 1.294 4.733 Pd

---

# 3
AlSi2Tc (GGA-PBE, relaxed); DFT total energy = -6.043 eV per atom; volume = 13.97 Å³ per atom
1.0
-1.030 -0.569 4.127
-1.926 3.152 2.185
-4.116 -0.391 1.150
Al Si Tc
1 2 1
Cartesian
-5.304 1.644 5.596 Al
-1.768 0.548 1.865 Si
-3.536 1.096 3.731 Si
0.000 0.000 0.000 Tc

---

# 4
CuNiBiAu (GGA-PBE, relaxed); DFT total energy = -4.022 eV per atom; volume = 16.99 Å³ per atom; distance to the lowest polymorph of the same formula = 0 meV/atom
1.0
0.000 3.239 3.239
3.239 0.000 3.239
3.239 3.239 0.000
Au Bi Cu Ni
1 1 1 1
Cartesian
3.239 3.239 3.239 Au
0.000 0.000 0.000 Bi
4.858 4.858 4.858 Cu
1.619 1.619 1.619 Ni

---

# 5
PrIr2 (GGA-PBE, relaxed); DFT total energy = -6.761 eV per atom; volume = 22.94 Å³ per atom; formation enthalpy at 0 K = 0.73 eV/atom
1.0
3.201 -0.402 3.279
1.608 3.754 2.117
-1.095 0.809 4.394
Ir Pr
2 1
Cartesian
0.928 1.040 2.448 Ir
2.785 3.121 7.343 Ir
0.000 0.000 0.000 Pr

---

# 6
Tb (GGA-PBE, relaxed); DFT total energy = -4.615 eV per atom; volume = 31.57 Å³ per atom; distance to the lowest polymorph of the same formula = 14 meV/atom; formation enthalpy at 0 K = 0.01 eV/atom
1.0
-2.525 -2.168 1.240
3.002 -1.350 -1.333
3.622 0.284 7.873
Tb
3
Cartesian
0.315 -2.324 -0.061 Tb
0.350 -0.642 3.045 Tb
3.434 -0.269 4.796 Tb

---

# 7
CdCoReBi (GGA-PBE, relaxed); DFT total energy = -5.262 eV per atom; volume = 17.35 Å³ per atom; distance to the lowest polymorph of the same formula = 0 meV/atom
1.0
2.267 1.395 3.767
2.194 4.058 0.001
-1.637 3.506 2.511
Bi Cd Co Re
1 1 1 1
Cartesian
0.000 0.000 0.000 Bi
1.412 4.479 3.139 Cd
2.118 6.719 4.709 Co
0.706 2.240 1.570 Re

---

# 8
SrLu2Co (GGA-PBE, relaxed); DFT total energy = -3.905 eV per atom; volume = 25.62 Å³ per atom
1.0
0.000 3.714 3.714
3.714 0.000 3.714
3.714 3.714 0.000
Co Lu Sr
1 2 1
Cartesian
1.857 1.857 1.857 Co
0.000 0.000 0.000 Lu
5.572 5.572 5.572 Lu
3.714 3.714 3.714 Sr

---

# 9
Sc2Zn5Hg (GGA-PBE, relaxed); DFT total energy = -2.691 eV per atom; volume = 17.33 Å³ per atom; formation enthalpy at 0 K = -0.28 eV/atom
1.0
4.458 0.000 0.000
0.000 2.989 5.202
0.000 -2.989 5.202
Hg Sc Zn
1 2 5
Cartesian
0.000 0.000 8.693 Hg
0.000 0.000 3.459 Sc
2.229 0.000 6.910 Sc
2.229 0.000 1.638 Zn
2.229 1.470 4.423 Zn
0.000 1.583 6.036 Zn
2.229 -1.470 4.423 Zn
0.000 -1.583 6.036 Zn

---

# 10
TmLu2ZnIn2 (GGA-PBE, relaxed); DFT total energy = -3.626 eV per atom; volume = 24.94 Å³ per atom
1.0
-0.978 -1.148 -4.768
1.169 -3.613 3.253
-6.691 -0.763 1.556
In Lu Tm Zn
2 2 1 1
Cartesian
0.453 -2.792 0.579 In
-3.608 -2.352 -1.316 In
-1.734 -0.198 0.403 Lu
-4.957 -0.566 1.153 Lu
-0.262 -1.970 -2.094 Tm
-2.892 -3.173 1.357 Zn

---

# 11
K2Dy3TmC2 (GGA-PBE, relaxed); DFT total energy = -4.921 eV per atom; volume = 29.10 Å³ per atom
1.0
3.612 0.000 0.000
-1.806 3.128 0.000
0.000 0.000 20.610
C Dy K Tm
2 3 2 1
Cartesian
0.000 2.085 10.313 C
0.000 2.085 20.574 C
1.806 1.043 1.313 Dy
1.806 1.043 8.979 Dy
0.000 0.000 11.647 Dy
0.000 0.000 5.143 K
1.806 1.043 15.485 K
0.000 0.000 19.291 Tm

---

# 12
LaNi2SbP (GGA-PBE, relaxed); DFT total energy = -5.923 eV per atom; volume = 17.79 Å³ per atom; distance to the lowest polymorph of the same formula = 61 meV/atom
1.0
-0.289 3.771 1.985
-3.120 1.168 -2.672
-6.627 -3.724 6.112
La Ni P Sb
2 4 2 2
Cartesian
-3.420 -0.461 0.379 La
-4.911 -0.793 5.389 La
-1.149 1.321 1.919 Ni
-3.313 -1.862 3.056 Ni
-5.018 0.607 2.712 Ni
-7.182 -2.575 3.849 Ni
-2.683 0.459 3.334 P
-5.648 -1.713 2.434 P
0.000 0.000 0.000 Sb
-1.705 2.469 -0.344 Sb

---

Q: The highest volume belongs to which entry?
A: Tb

---

Q: What is the formula in the fourth record?
A: CuNiBiAu

---

Q: Which value of DFT total energy does entry 8 give?
A: -3.905 eV per atom